[1]
## CaTbIn (PBE-GGA)

Data for an optimized crystal structure of CaTbIn.

Properties
Energy above the most stable polymorph in this dataset: 180.1 meV/atom
Space-group type: P3m1 (156)

a = 5.344 Å, b = 5.344 Å, c = 3.656 Å
α = 90.00°, β = 90.00°, γ = 120.00°
Positions (direct):
Ca 0.000 0.000 0.000
Tb 0.333 0.667 0.436
In 0.667 0.333 0.702

=====

[2]
## CaTbIn (PBE-GGA)

Data for an optimized crystal structure of CaTbIn.

Properties
Energy above the most stable polymorph in this dataset: 0.0 meV/atom
Space-group type: P6_3/mmc (194)

a = 5.436 Å, b = 5.436 Å, c = 6.892 Å
α = 90.00°, β = 90.00°, γ = 120.00°
Positions (direct):
Ca 0.000 0.000 0.000
Ca 0.000 0.000 0.500
Tb 0.333 0.667 0.250
Tb 0.667 0.333 0.750
In 0.333 0.667 0.750
In 0.667 0.333 0.250

=====

[3]
## Ca5TbIn3 (PBE-GGA)

Data for an optimized crystal structure of Ca5TbIn3.

Properties
Space-group type: P6_3/mcm (193)

a = 9.541 Å, b = 9.541 Å, c = 7.098 Å
α = 90.00°, β = 90.00°, γ = 120.00°
Positions (direct):
Ca 0.000 0.340 0.250
Ca 0.000 0.660 0.750
Ca 0.333 0.667 0.000
Ca 0.333 0.667 0.500
Ca 0.340 0.000 0.250
Ca 0.340 0.340 0.750
Ca 0.660 0.000 0.750
Ca 0.660 0.660 0.250
Ca 0.667 0.333 0.000
Ca 0.667 0.333 0.500
Tb 0.000 0.000 0.000
Tb 0.000 0.000 0.500
In 0.000 0.319 0.750
In 0.000 0.681 0.250
In 0.319 0.000 0.750
In 0.319 0.319 0.250
In 0.681 0.000 0.250
In 0.681 0.681 0.750

=====

| no. | total magnetization (μB/f.u.) | formation energy from the elements (eV per formula unit) |
| --- | --- | --- |
| 1 | 0.00 | -0.62 |
| 2 | 0.00 | -1.16 |
| 3 | 0.00 | -3.04 |